# Hg3PO

A geometry-optimized Hg3PO structure (PBE, the Alexandria database).

- Crystal system: cubic
- Space-group type: Pm-3m (221)
- Uncorrected formation energy: 2.60 eV per formula unit
- Excess energy over the best structure of this formula in the dataset: 0.000 eV per atom

a b c (Å): 4.7297 4.7297 4.7297
angles (deg): 90.00 90.00 90.00
Last column: nearest neighbours and their distance in Å.
Element x y z (fractional)
P 0.5000 0.5000 0.5000  12 Hg 3.34
Hg 0.0000 0.5000 0.0000  2 O 2.36
Hg 0.0000 0.0000 0.5000  2 O 2.36
Hg 0.5000 0.0000 0.0000  2 O 2.36
O 0.0000 0.0000 0.0000  6 Hg 2.36



# CaAc3Rh8

A geometry-optimized CaAc3Rh8 structure (PBE, the Alexandria database).

- Crystal system: trigonal
- Space-group type: R3m (160)
- ΔH_f (0 K): -540 meV/atom

a b c (Å): 5.4987 5.4987 9.5859
angles (deg): 73.33 73.33 60.00
Last column: nearest neighbours and their distance in Å.
Element x y z (fractional)
Ca 0.8735 0.8735 0.3795  12 Rh 3.18-3.24, 4 Ac 3.33
Ac 0.3763 0.3763 0.8711  12 Rh 3.23-3.29, 4 Ac 3.42-3.45
Ac 0.9964 0.9964 0.0108  12 Rh 3.19-3.35, 1 Ca 3.33, 3 Ac 3.42
Ac 0.5034 0.5034 0.4899  12 Rh 3.15-3.27, 3 Ca 3.33, 1 Ac 3.45
Rh 0.9380 0.4360 0.1901  6 Rh 2.74-2.79
Rh 0.4384 0.9385 0.6847  6 Rh 2.75-2.78
Rh 0.4360 0.4360 0.1901  6 Rh 2.74-2.79
Rh 0.9385 0.9385 0.6847  6 Rh 2.75-2.78
Rh 0.1877 0.1877 0.4370  6 Rh 2.74-2.75
Rh 0.6876 0.6876 0.9373  6 Rh 2.78-2.79
Rh 0.4360 0.9380 0.1901  6 Rh 2.74-2.79
Rh 0.9385 0.4384 0.6847  6 Rh 2.75-2.78



# MgAsPb2

A geometry-optimized MgAsPb2 structure (PBE, the Alexandria database).

- Crystal system: tetragonal
- Space-group type: I4/mmm (139)
- Excess energy over the best structure of this formula in the dataset: 0.172 eV per atom
- ΔH_f (0 K): 63 meV/atom

a b c (Å): 6.0236 6.0236 6.0236
angles (deg): 135.79 135.79 64.30
Last column: nearest neighbours and their distance in Å.
Element x y z (fractional)
As 0.2500 0.7500 0.5000  4 Mg 3.21, 8 Pb 3.41
Mg 0.7500 0.2500 0.5000  4 As 3.21, 8 Pb 3.41
Pb 0.0000 0.0000 0.0000  4 Pb 3.21, 4 As 3.41, 4 Mg 3.41
Pb 0.5000 0.5000 0.0000  4 Pb 3.21, 4 As 3.41, 4 Mg 3.41



# SrBeCo

A geometry-optimized SrBeCo structure (PBE, the Alexandria database).

- Crystal system: cubic
- Space-group type: F-43m (216)
- Excess energy over the best structure of this formula in the dataset: 0.542 eV per atom
- ΔH_f (0 K): 852 meV/atom

a b c (Å): 4.4421 4.4421 4.4421
angles (deg): 60.00 60.00 60.00
Last column: nearest neighbours and their distance in Å.
Element x y z (fractional)
Sr 0.0000 0.0000 0.0000  4 Co 2.72
Co 0.2500 0.2500 0.2500  4 Sr 2.72, 4 Be 2.72
Be 0.5000 0.5000 0.5000  4 Co 2.72



# TiCuTeN2

A geometry-optimized TiCuTeN2 structure (PBE, the Alexandria database).

- Crystal system: tetragonal
- Space-group type: P4/mmm (123)
- Uncorrected formation energy: 6.54 eV per formula unit
- Excess energy over the best structure of this formula in the dataset: 0.891 eV per atom

a b c (Å): 3.8813 3.8813 5.0470
angles (deg): 90.00 90.00 90.00
Last column: nearest neighbours and their distance in Å.
Element x y z (fractional)
N 0.0000 0.5000 0.0000  2 Cu 1.94
N 0.5000 0.0000 0.0000  2 Cu 1.94
Te 0.0000 0.0000 0.5000  2 Cu 2.52, 4 Ti 2.74
Cu 0.0000 0.0000 0.0000  4 N 1.94
Ti 0.5000 0.5000 0.5000  4 Te 2.74



# UPbC

A geometry-optimized UPbC structure (PBE, the Alexandria database).

- Crystal system: monoclinic
- Space-group type: C2/m (12)
- ΔH_f (0 K): 422 meV/atom

a b c (Å): 6.1874 6.1874 8.5806
angles (deg): 133.82 133.82 37.47
Last column: nearest neighbours and their distance in Å.
Element x y z (fractional)
Pb 0.9081 0.9081 0.6869  3 C 3.20-3.21, 2 Pb 3.25, 6 U 3.27-3.52
Pb 0.0919 0.0919 0.3131  3 C 3.20-3.21, 2 Pb 3.25, 6 U 3.27-3.52
C 0.6960 0.6960 0.8568  3 U 2.16-2.23
C 0.3040 0.3040 0.1432  3 U 2.16-2.23
U 0.2599 0.2599 0.8427  3 C 2.16-2.23
U 0.7401 0.7401 0.1573  3 C 2.16-2.23